Compound: InAgSn
Source: Alexandria via LeMat-Bulk
Functional: GGA-PBE
Structure: relaxed

As for the crystal system: orthorhombic. The value obtained for the formation energy is 0.0365 eV per atom.

The structure belongs to space group Cmmm (No. 65); the cell edges are 9.1615, 9.9708 and 3.1615 Å and the angles 90.00°, 90.00° and 90.00°. The distinct sites, in fractional coordinates, are In at (0.0000, 0.1512, 0.0000), Ag at (0.2500, 0.2500, 0.5000) and Sn at (0.1655, 0.5000, 0.0000).

Compound: Rb2ScCl4
Source: Alexandria via LeMat-Bulk
Functional: GGA-PBE
Structure: relaxed

The calculation puts the formation energy without anion corrections at -1.903 eV/atom. As for the crystal system: tetragonal.

The structure belongs to space group I4/mmm (No. 139); the cell edges are 5.1154, 5.1154 and 16.6790 Å and the angles 90.00°, 90.00° and 90.00°. The distinct sites, in fractional coordinates, are Rb at (0.0000, 0.0000, 0.1436), Sc at (0.0000, 0.0000, 0.5000), Cl at (0.0000, 0.0000, 0.3414) and Cl at (0.0000, 0.5000, 0.0000).

Compound: SiBrF3
Source: Alexandria via LeMat-Bulk
Functional: GGA-PBE
Structure: relaxed

The calculation puts the formation energy without anion corrections at -2.537 eV/atom. As for the crystal system: triclinic.

The structure belongs to space group P1 (No. 1); the cell edges are 5.0936, 6.4344 and 7.2541 Å and the angles 89.54°, 89.99° and 89.92°. The distinct sites, in fractional coordinates, are Si at (0.0000, 0.0000, 0.0000), Si at (0.4989, 0.4942, 0.4892), Br at (0.1147, 0.3252, 0.9880), Br at (0.6137, 0.1688, 0.5003), F at (0.1081, 0.8907, 0.1821), F at (0.1093, 0.8765, 0.8272), F at (0.1876, 0.5151, 0.4887), F at (0.6076, 0.6039, 0.3075), F at (0.6076, 0.6167, 0.6625) and F at (0.6887, 0.9799, 0.0002).